## w
# Ga2Ge2As

Ga2Ge2As after structural relaxation (PBE-GGA, the Alexandria database).

Output
- Volume: 195 Å³/cell
- ρ: 6.12 g cm⁻³
- DOS at the Fermi energy: 4.05 states/eV/cell
- M_tot: 0.0 μB/cell
- Space group: P4/mbm (127)
- Crystal system: tetragonal

a b c (Å): 7.7213 7.7213 3.2721
angles (deg): 90.00 90.00 90.00
Atoms (fractional coordinates):
As 0.0000 0.0000 0.0000
As 0.5000 0.5000 0.0000
Ge 0.1248 0.6248 0.5000
Ge 0.6248 0.8752 0.5000
Ge 0.8752 0.3752 0.5000
Ge 0.3752 0.1248 0.5000
Ga 0.3291 0.8291 0.0000
Ga 0.8291 0.6709 0.0000
Ga 0.6709 0.1709 0.0000
Ga 0.1709 0.3291 0.0000

=====

## x
# Ga2Ge2As

Ga2Ge2As after structural relaxation (PBE-GGA, the Alexandria database).

Output
- Volume: 196 Å³/cell
- ρ: 6.10 g cm⁻³
- DOS at the Fermi energy: 4.74 states/eV/cell
- M_tot: 0.0 μB/cell
- Space group: P4/mbm (127)
- Crystal system: tetragonal

a b c (Å): 7.9148 7.9148 3.1280
angles (deg): 90.00 90.00 90.00
Atoms (fractional coordinates):
As 0.0000 0.0000 0.0000
As 0.5000 0.5000 0.0000
Ge 0.3254 0.8254 0.0000
Ge 0.8254 0.6746 0.0000
Ge 0.6746 0.1746 0.0000
Ge 0.1746 0.3254 0.0000
Ga 0.1276 0.6276 0.5000
Ga 0.6276 0.8724 0.5000
Ga 0.8724 0.3724 0.5000
Ga 0.3724 0.1276 0.5000

=====

Stability ranking, top entry: x; the second entry is 0.030 eV/atom less favorable.

=====

## w
# GaGeAs

GaGeAs after structural relaxation (PBE-GGA, the Alexandria database).

Output
- Volume: 144 Å³/cell
- ρ: 5.01 g cm⁻³
- DOS at the Fermi energy: 1.77 states/eV/cell
- M_tot: 0.0 μB/cell
- Space group: Cmc2_1 (36)
- Crystal system: orthorhombic

a b c (Å): 3.7015 4.9132 8.1398
angles (deg): 90.00 103.14 90.00
Atoms (fractional coordinates):
Ge 0.3329 0.2818 0.6659
Ge 0.6671 0.7818 0.3341
As 0.0793 0.5827 0.1586
As 0.9207 0.0827 0.8414
Ga 0.1748 0.1765 0.3496
Ga 0.8252 0.6765 0.6504

=====

## x
# GaGeAs

GaGeAs after structural relaxation (PBE-GGA, the Alexandria database).

Output
- Volume: 58 Å³/cell
- ρ: 6.17 g cm⁻³
- DOS at the Fermi energy: 0.92 states/eV/cell
- M_tot: 0.0 μB/cell
- Space group: P3m1 (156)
- Crystal system: trigonal

a b c (Å): 2.7831 4.9250 4.9250
angles (deg): 120.00 90.00 90.00
Atoms (fractional coordinates):
As 0.3579 0.3333 0.6667
Ge 0.4140 0.6667 0.3333
Ga 0.2281 0.0000 0.0000

=====

Stability ranking, top entry: w; the second entry is 0.080 eV/atom less favorable.

=====

## w
# Ga2GeAs

Ga2GeAs after structural relaxation (PBE-GGA, the Alexandria database).

Output
- Volume: 192 Å³/cell
- ρ: 4.95 g cm⁻³
- DOS at the Fermi energy: 3.96 states/eV/cell
- M_tot: 0.0 μB/cell
- Space group: I-42d (122)
- Crystal system: tetragonal

a b c (Å): 5.8312 5.8312 7.0015
angles (deg): 65.39 65.39 90.00
Atoms (fractional coordinates):
As 0.0000 0.0000 0.0000
As 0.7500 0.2500 0.5000
Ge 0.5000 0.5000 0.0000
Ge 0.2500 0.7500 0.5000
Ga 0.6255 0.1250 0.2500
Ga 0.1245 0.6250 0.2500
Ga 0.3750 0.3745 0.7500
Ga 0.8750 0.8755 0.7500

=====

## x
# Ga2GeAs

Ga2GeAs after structural relaxation (PBE-GGA, the Alexandria database).

Output
- Volume: 79 Å³/cell
- ρ: 6.02 g cm⁻³
- DOS at the Fermi energy: 1.82 states/eV/cell
- M_tot: 0.0 μB/cell
- Space group: R-3m (166)
- Crystal system: trigonal

a b c (Å): 3.7972 3.7972 6.7081
angles (deg): 73.56 73.56 60.00
Atoms (fractional coordinates):
As 0.5000 0.5000 0.5000
Ge 0.0000 0.0000 0.0000
Ga 0.2462 0.2462 0.2614
Ga 0.7538 0.7538 0.7386

=====

Stability ranking, top entry: w; the second entry is 0.136 eV/atom less favorable.

=====

## w
# Ga2AsH

Ga2AsH after structural relaxation (PBE-GGA, the Alexandria database).

Output
- Volume: 64 Å³/cell
- ρ: 5.59 g cm⁻³
- DOS at the Fermi energy: 1.15 states/eV/cell
- M_tot: 0.0 μB/cell
- Space group: Fm-3m (225)
- Crystal system: cubic

a b c (Å): 4.4896 4.4896 4.4896
angles (deg): 60.00 60.00 60.00
Atoms (fractional coordinates):
H 0.0000 0.0000 0.0000
As 0.5000 0.5000 0.5000
Ga 0.2500 0.2500 0.2500
Ga 0.7500 0.7500 0.7500

=====

## x
# Ga2AsH

Ga2AsH after structural relaxation (PBE-GGA, the Alexandria database).

Output
- Volume: 90 Å³/cell
- ρ: 3.98 g cm⁻³
- DOS at the Fermi energy: 0.22 states/eV/cell
- M_tot: 0.0 μB/cell
- Space group: R-3m (166)
- Crystal system: trigonal

a b c (Å): 4.2122 4.2122 6.3354
angles (deg): 70.58 70.58 60.00
Atoms (fractional coordinates):
H 0.0000 0.0000 0.0000
As 0.5000 0.5000 0.5000
Ga 0.1022 0.1022 0.6934
Ga 0.8978 0.8978 0.3066

=====

Stability ranking, top entry: x; the second entry is 0.238 eV/atom less favorable.

=====

## w
# Ga3AsH

Ga3AsH after structural relaxation (PBE-GGA, the Alexandria database).

Output
- Volume: 82 Å³/cell
- ρ: 5.75 g cm⁻³
- DOS at the Fermi energy: 1.82 states/eV/cell
- M_tot: 0.0 μB/cell
- Space group: Pm-3m (221)
- Crystal system: cubic

a b c (Å): 4.3498 4.3498 4.3498
angles (deg): 90.00 90.00 90.00
Atoms (fractional coordinates):
H 0.0000 0.0000 0.0000
As 0.5000 0.5000 0.5000
Ga 0.0000 0.5000 0.0000
Ga 0.0000 0.0000 0.5000
Ga 0.5000 0.0000 0.0000

=====

## x
# Ga3AsH

Ga3AsH after structural relaxation (PBE-GGA, the Alexandria database).

Output
- Volume: 133 Å³/cell
- ρ: 3.57 g cm⁻³
- DOS at the Fermi energy: 1.39 states/eV/cell
- M_tot: 0.0 μB/cell
- Space group: Pm-3m (221)
- Crystal system: cubic

a b c (Å): 5.1003 5.1003 5.1003
angles (deg): 90.00 90.00 90.00
Atoms (fractional coordinates):
H 0.5000 0.5000 0.5000
As 0.0000 0.0000 0.0000
Ga 0.0000 0.5000 0.0000
Ga 0.0000 0.0000 0.5000
Ga 0.5000 0.0000 0.0000

=====

Stability ranking, top entry: w; the second entry is 0.568 eV/atom less favorable.

=====

## w
# GaAsH2

GaAsH2 after structural relaxation (PBE-GGA, the Alexandria database).

Output
- Volume: 113 Å³/cell
- ρ: 4.30 g cm⁻³
- DOS at the Fermi energy: 0.17 states/eV/cell
- M_tot: 0.0 μB/cell
- Space group: I-42d (122)
- Crystal system: tetragonal

a b c (Å): 4.5051 4.5051 6.4267
angles (deg): 69.48 69.48 90.00
Atoms (fractional coordinates):
H 0.9056 0.1250 0.2500
H 0.8444 0.6250 0.2500
H 0.3750 0.0944 0.7500
H 0.8750 0.1556 0.7500
As 0.0000 0.0000 0.0000
As 0.7500 0.2500 0.5000
Ga 0.5000 0.5000 0.0000
Ga 0.2500 0.7500 0.5000

=====

## x
# GaAsH2

GaAsH2 after structural relaxation (PBE-GGA, the Alexandria database).

Output
- Volume: 43 Å³/cell
- ρ: 5.66 g cm⁻³
- DOS at the Fermi energy: 1.63 states/eV/cell
- M_tot: 0.0 μB/cell
- Space group: Fm-3m (225)
- Crystal system: cubic

a b c (Å): 3.9321 3.9321 3.9321
angles (deg): 60.00 60.00 60.00
Atoms (fractional coordinates):
H 0.2500 0.2500 0.2500
H 0.7500 0.7500 0.7500
As 0.5000 0.5000 0.5000
Ga 0.0000 0.0000 0.0000

=====

Stability ranking, top entry: w; the second entry is 0.258 eV/atom less favorable.

=====

## w
# GaAsH3

GaAsH3 after structural relaxation (PBE-GGA, the Alexandria database).

Output
- Volume: 50 Å³/cell
- ρ: 4.92 g cm⁻³
- DOS at the Fermi energy: 2.28 states/eV/cell
- M_tot: 0.0 μB/cell
- Space group: Pm-3m (221)
- Crystal system: cubic

a b c (Å): 3.6801 3.6801 3.6801
angles (deg): 90.00 90.00 90.00
Atoms (fractional coordinates):
H 0.0000 0.5000 0.0000
H 0.0000 0.0000 0.5000
H 0.5000 0.0000 0.0000
As 0.5000 0.5000 0.5000
Ga 0.0000 0.0000 0.0000

=====

## x
# GaAsH3

GaAsH3 after structural relaxation (PBE-GGA, the Alexandria database).

Output
- Volume: 56 Å³/cell
- ρ: 4.39 g cm⁻³
- DOS at the Fermi energy: 1.16 states/eV/cell
- M_tot: 0.0 μB/cell
- Space group: Pm-3m (221)
- Crystal system: cubic

a b c (Å): 3.8228 3.8228 3.8228
angles (deg): 90.00 90.00 90.00
Atoms (fractional coordinates):
H 0.0000 0.5000 0.0000
H 0.0000 0.0000 0.5000
H 0.5000 0.0000 0.0000
As 0.0000 0.0000 0.0000
Ga 0.5000 0.5000 0.5000

=====

Stability ranking, top entry: x; the second entry is 0.241 eV/atom less favorable.

=====

## w
# GaAs3H

GaAs3H after structural relaxation (PBE-GGA, the Alexandria database).

Output
- Volume: 122 Å³/cell
- ρ: 4.01 g cm⁻³
- DOS at the Fermi energy: 2.59 states/eV/cell
- M_tot: 1.0 μB/cell
- Space group: Pm-3m (221)
- Crystal system: cubic

a b c (Å): 4.9656 4.9656 4.9656
angles (deg): 90.00 90.00 90.00
Atoms (fractional coordinates):
H 0.5000 0.5000 0.5000
As 0.0000 0.5000 0.0000
As 0.0000 0.0000 0.5000
As 0.5000 0.0000 0.0000
Ga 0.0000 0.0000 0.0000

=====

## x
# GaAs3H

GaAs3H after structural relaxation (PBE-GGA, the Alexandria database).

Output
- Volume: 82 Å³/cell
- ρ: 5.97 g cm⁻³
- DOS at the Fermi energy: 3.88 states/eV/cell
- M_tot: 0.0 μB/cell
- Space group: Pm-3m (221)
- Crystal system: cubic

a b c (Å): 4.3473 4.3473 4.3473
angles (deg): 90.00 90.00 90.00
Atoms (fractional coordinates):
H 0.0000 0.0000 0.0000
As 0.0000 0.5000 0.0000
As 0.0000 0.0000 0.5000
As 0.5000 0.0000 0.0000
Ga 0.5000 0.5000 0.5000

=====

Stability ranking, top entry: x; the second entry is 0.647 eV/atom less favorable.

=====

## w
# GaAsHSe2

GaAsHSe2 after structural relaxation (PBE-GGA, the Alexandria database).

Output
- Volume: 126 Å³/cell
- ρ: 3.99 g cm⁻³
- DOS at the Fermi energy: 3.94 states/eV/cell
- M_tot: 1.1 μB/cell
- Space group: P4/mmm (123)
- Crystal system: tetragonal

a b c (Å): 5.0726 5.0726 4.9133
angles (deg): 90.00 90.00 90.00
Atoms (fractional coordinates):
H 0.5000 0.5000 0.5000
As 0.0000 0.0000 0.5000
Ga 0.0000 0.0000 0.0000
Se 0.0000 0.5000 0.0000
Se 0.5000 0.0000 0.0000

=====

## x
# GaAsHSe2

GaAsHSe2 after structural relaxation (PBE-GGA, the Alexandria database).

Output
- Volume: 88 Å³/cell
- ρ: 5.74 g cm⁻³
- DOS at the Fermi energy: 4.30 states/eV/cell
- M_tot: 0.0 μB/cell
- Space group: P4/mmm (123)
- Crystal system: tetragonal

a b c (Å): 5.0249 5.0249 3.4788
angles (deg): 90.00 90.00 90.00
Atoms (fractional coordinates):
H 0.0000 0.0000 0.0000
As 0.0000 0.0000 0.5000
Ga 0.5000 0.5000 0.5000
Se 0.0000 0.5000 0.0000
Se 0.5000 0.0000 0.0000

=====

Stability ranking, top entry: x; the second entry is 0.506 eV/atom less favorable.

=====

## w
# Hf2GaAs

Hf2GaAs after structural relaxation (PBE-GGA, the Alexandria database).

Output
- Volume: 220 Å³/cell
- ρ: 7.57 g cm⁻³
- DOS at the Fermi energy: 0.96 states/eV/cell
- M_tot: 0.0 μB/cell
- Space group: I-42d (122)
- Crystal system: tetragonal

a b c (Å): 5.7876 5.7876 7.7424
angles (deg): 68.05 68.05 90.00
Atoms (fractional coordinates):
As 0.0000 0.0000 0.0000
As 0.7500 0.2500 0.5000
Hf 0.6222 0.1250 0.2500
Hf 0.1278 0.6250 0.2500
Hf 0.3750 0.3778 0.7500
Hf 0.8750 0.8722 0.7500
Ga 0.5000 0.5000 0.0000
Ga 0.2500 0.7500 0.5000

=====

## x
# Hf2GaAs

Hf2GaAs after structural relaxation (PBE-GGA, the Alexandria database).

Output
- Volume: 81 Å³/cell
- ρ: 10.24 g cm⁻³
- DOS at the Fermi energy: 2.67 states/eV/cell
- M_tot: 0.0 μB/cell
- Space group: R3m (160)
- Crystal system: trigonal

a b c (Å): 3.5848 3.5848 7.5937
angles (deg): 76.35 76.35 60.00
Atoms (fractional coordinates):
Hf 0.0750 0.0750 0.7749
Hf 0.2583 0.2583 0.2250
Ga 0.4991 0.4991 0.5026
As 0.6675 0.6675 0.9975

=====

Stability ranking, top entry: x; the second entry is 0.818 eV/atom less favorable.

=====

## w
# Hf2GaAs

Hf2GaAs after structural relaxation (PBE-GGA, the Alexandria database).

Output
- Volume: 75 Å³/cell
- ρ: 11.12 g cm⁻³
- DOS at the Fermi energy: 3.22 states/eV/cell
- M_tot: 0.0 μB/cell
- Space group: Fm-3m (225)
- Crystal system: cubic

a b c (Å): 4.7312 4.7312 4.7312
angles (deg): 60.00 60.00 60.00
Atoms (fractional coordinates):
As 0.5000 0.5000 0.5000
Hf 0.2500 0.2500 0.2500
Hf 0.7500 0.7500 0.7500
Ga 0.0000 0.0000 0.0000

=====

## x
# Hf2GaAs

Hf2GaAs after structural relaxation (PBE-GGA, the Alexandria database).

Output
- Volume: 95 Å³/cell
- ρ: 8.76 g cm⁻³
- DOS at the Fermi energy: 2.27 states/eV/cell
- M_tot: 0.0 μB/cell
- Space group: R-3m (166)
- Crystal system: trigonal

a b c (Å): 3.5313 3.5313 9.0349
angles (deg): 78.73 78.73 60.00
Atoms (fractional coordinates):
As 0.5000 0.5000 0.5000
Hf 0.1043 0.1043 0.6870
Hf 0.8957 0.8957 0.3130
Ga 0.0000 0.0000 0.0000

=====

Stability ranking, top entry: w; the second entry is 0.246 eV/atom less favorable.

=====

## w
# HfGaNiAs

HfGaNiAs after structural relaxation (PBE-GGA, the Alexandria database).

Output
- Volume: 66 Å³/cell
- ρ: 9.57 g cm⁻³
- DOS at the Fermi energy: 2.99 states/eV/cell
- M_tot: 0.0 μB/cell
- Space group: P4mm (99)
- Crystal system: tetragonal

a b c (Å): 3.4490 3.4490 5.5688
angles (deg): 90.00 90.00 90.00
Atoms (fractional coordinates):
Hf 0.5000 0.5000 0.3996
Ga 0.5000 0.5000 0.9116
Ni 0.0000 0.0000 0.1005
As 0.0000 0.0000 0.6100

=====

## x
# HfGaNiAs

HfGaNiAs after structural relaxation (PBE-GGA, the Alexandria database).

Output
- Volume: 65 Å³/cell
- ρ: 9.74 g cm⁻³
- DOS at the Fermi energy: 2.07 states/eV/cell
- M_tot: 0.0 μB/cell
- Space group: P-1 (2)
- Crystal system: triclinic

a b c (Å): 2.8827 4.8746 5.1152
angles (deg): 64.94 89.75 89.25
Atoms (fractional coordinates):
Hf 0.0000 0.5000 0.5000
Ga 0.5000 0.5000 0.0000
Ni 0.5000 0.0000 0.0000
As 0.5000 0.0000 0.5000

=====

## y
# HfGaNiAs

HfGaNiAs after structural relaxation (PBE-GGA, the Alexandria database).

Output
- Volume: 66 Å³/cell
- ρ: 9.57 g cm⁻³
- DOS at the Fermi energy: 1.01 states/eV/cell
- M_tot: 0.0 μB/cell
- Space group: Pm (6)
- Crystal system: monoclinic

a b c (Å): 3.5041 3.5636 5.5880
angles (deg): 90.00 108.37 90.00
Atoms (fractional coordinates):
Hf 0.8508 0.5000 0.4228
Ga 0.1722 0.0000 0.0655
Ni 0.6037 0.5000 0.9286
As 0.4421 0.0000 0.6047

=====

## z
# HfGaNiAs

HfGaNiAs after structural relaxation (PBE-GGA, the Alexandria database).

Output
- Volume: 137 Å³/cell
- ρ: 9.25 g cm⁻³
- DOS at the Fermi energy: 2.00 states/eV/cell
- M_tot: 0.0 μB/cell
- Space group: Cm (8)
- Crystal system: monoclinic

a b c (Å): 5.0719 3.7336 7.8278
angles (deg): 90.00 112.30 90.00
Atoms (fractional coordinates):
Hf 0.6986 0.0000 0.4669
Hf 0.6986 0.5000 0.9669
Ga 0.3611 0.0000 0.0699
Ga 0.3611 0.5000 0.5699
Ni 0.3135 0.0000 0.7551
Ni 0.3135 0.5000 0.2551
As 0.9983 0.0000 0.2425
As 0.9983 0.5000 0.7425

=====

Stability ranking, top entry: y; the second entry is 0.057 eV/atom less favorable.